No. 1
LaTb2Sm2Y PBE optimized geometry; energy relative to the elements = 0.055 eV per atom; total energy = -4.96 eV/atom; V = 33.27 Å³/atom
1.0
7.062 0.000 0.000
0.000 9.934 0.000
0.000 0.000 5.690
La Tb Sm Y
2 4 4 2
Direct
0.000 0.000 0.000
0.500 0.500 0.500
0.249 0.333 0.000
0.251 0.833 0.500
0.749 0.167 0.500
0.751 0.667 0.000
0.248 0.667 0.000
0.252 0.167 0.500
0.748 0.833 0.500
0.752 0.333 0.000
0.000 0.500 0.500
0.500 0.000 0.000


No. 2
Ho2CuSi4O12 PBE optimized geometry; total energy = -7.77 eV/atom; E_form (uncorrected) = -2.80 eV/atom; V = 12.53 Å³/atom
1.0
4.808 0.000 0.000
1.685 6.905 0.000
0.654 3.335 7.169
Ho Cu Si O
2 1 4 12
Direct
0.023 0.276 0.444
0.977 0.724 0.556
0.000 0.500 0.000
0.425 0.892 0.796
0.444 0.684 0.212
0.556 0.316 0.788
0.575 0.108 0.204
0.209 0.930 0.631
0.223 0.572 0.372
0.264 0.483 0.798
0.272 0.273 0.196
0.284 0.812 0.004
0.469 0.140 0.728
0.531 0.860 0.272
0.716 0.188 0.996
0.728 0.727 0.804
0.736 0.517 0.202
0.777 0.428 0.628
0.791 0.070 0.369


No. 3
La2GaHgIr PBE optimized geometry; energy relative to the elements = -0.535 eV per atom; total energy = -4.94 eV/atom; excess energy over the best structure of this formula in the dataset = 100 meV/atom; V = 30.02 Å³/atom
1.0
5.584 0.000 0.000
0.000 5.584 0.000
0.000 0.000 4.814
La Ga Hg Ir
2 1 1 1
Direct
0.000 0.500 0.000
0.500 0.000 0.000
0.000 0.000 0.500
0.500 0.500 0.500
0.000 0.000 0.000


No. 4
U2Hg2I7 PBE optimized geometry; total energy = -3.69 eV/atom; E_form (uncorrected) = -0.60 eV/atom; V = 48.41 Å³/atom
1.0
6.764 -4.626 0.000
6.764 4.626 0.000
-1.377 0.000 8.509
U Hg I
2 2 7
Direct
0.237 0.237 0.036
0.763 0.763 0.964
0.183 0.817 0.500
0.817 0.183 0.500
0.000 0.000 0.000
0.067 0.497 0.777
0.440 0.440 0.209
0.497 0.067 0.777
0.503 0.933 0.223
0.560 0.560 0.791
0.933 0.503 0.223


No. 5
SmThSe4 PBE optimized geometry; total energy = -5.77 eV/atom; E_form (uncorrected) = -1.43 eV/atom; V = 34.08 Å³/atom
1.0
4.806 -4.841 0.000
4.806 4.841 0.000
0.000 0.000 4.394
Sm Th Se
1 1 4
Direct
0.000 0.000 0.000
0.500 0.500 0.500
0.200 0.200 0.500
0.303 0.697 0.000
0.697 0.303 0.000
0.800 0.800 0.500


No. 6
TiGaTe2I PBE optimized geometry; total energy = -3.29 eV/atom; E_form (uncorrected) = 0.46 eV/atom; excess energy over the best structure of this formula in the dataset = 676 meV/atom; V = 31.89 Å³/atom
1.0
5.376 0.000 0.000
0.000 5.376 0.000
0.000 0.000 5.517
Ti Ga Te I
1 1 2 1
Direct
0.000 0.000 0.000
0.500 0.500 0.500
0.000 0.500 0.500
0.500 0.000 0.500
0.500 0.500 0.000


No. 7
Pr8TlSi3I4 PBE optimized geometry; total energy = -4.80 eV/atom; E_form (uncorrected) = -0.86 eV/atom; V = 32.75 Å³/atom
1.0
4.429 2.557 7.711
-4.429 2.557 7.711
0.000 -5.114 7.711
Pr Tl Si I
8 1 3 4
Direct
0.222 0.742 0.742
0.233 0.233 0.233
0.258 0.258 0.778
0.258 0.778 0.258
0.742 0.222 0.742
0.742 0.742 0.222
0.767 0.767 0.767
0.778 0.258 0.258
0.500 0.500 0.500
0.000 0.000 0.500
0.000 0.500 0.000
0.500 0.000 0.000
0.000 0.000 0.000
0.000 0.500 0.500
0.500 0.000 0.500
0.500 0.500 0.000


No. 8
LiAlSe2N PBE optimized geometry; total energy = -3.43 eV/atom; E_form (uncorrected) = 0.76 eV/atom; excess energy over the best structure of this formula in the dataset = 794 meV/atom; V = 16.14 Å³/atom
1.0
4.763 0.000 0.000
0.000 4.763 0.000
0.000 0.000 3.556
Li Al Se N
1 1 2 1
Direct
0.000 0.000 0.000
0.500 0.500 0.500
0.000 0.500 0.000
0.500 0.000 0.000
0.000 0.000 0.500


No. 9
NaTcAu2Br PBE optimized geometry; total energy = -2.84 eV/atom; E_form (uncorrected) = 1.14 eV/atom; V = 27.79 Å³/atom
1.0
5.272 0.000 0.000
0.000 5.272 0.000
0.000 0.000 5.000
Na Tc Au Br
1 1 2 1
Direct
0.000 0.000 0.000
0.500 0.500 0.000
0.000 0.500 0.500
0.500 0.000 0.500
0.000 0.000 0.500


No. 10
Y4Pd3Pt PBE optimized geometry; energy relative to the elements = -0.996 eV per atom; total energy = -6.93 eV/atom; V = 22.57 Å³/atom
1.0
3.734 0.000 0.000
0.000 4.583 0.000
0.000 0.000 10.554
Y Pd Pt
4 3 1
Direct
0.000 0.000 0.000
0.000 0.500 0.272
0.500 0.000 0.494
0.500 0.500 0.772
0.000 0.000 0.720
0.000 0.500 0.550
0.500 0.500 0.047
0.500 0.000 0.221


No. 11
YRuBr PBE optimized geometry; total energy = -6.05 eV/atom; E_form (uncorrected) = -0.24 eV/atom; excess energy over the best structure of this formula in the dataset = 726 meV/atom; V = 19.84 Å³/atom
1.0
4.415 0.000 0.000
-2.207 3.823 0.000
0.000 0.000 3.526
Y Ru Br
1 1 1
Direct
0.000 0.000 0.000
0.333 0.667 0.532
0.667 0.333 0.481


No. 12
CoHg2Cl PBE optimized geometry; total energy = -2.27 eV/atom; E_form (uncorrected) = 0.12 eV/atom; excess energy over the best structure of this formula in the dataset = 140 meV/atom; V = 23.53 Å³/atom
1.0
1.673 -2.952 0.000
1.673 2.952 0.000
0.000 0.000 9.529
Co Hg Cl
1 2 1
Direct
0.000 0.000 0.000
0.000 0.000 0.491
0.500 0.500 0.779
0.500 0.500 0.155